# Tb3Zn4Ge2

Crystalline Tb3Zn4Ge2 at its relaxed geometry (GGA-PBE, the Alexandria database).

Computed properties:
As for the calculated total energy: -3.719 eV/atom. The value obtained for the calculated density is 7.99 g cm⁻³.

Cell lengths 4.2890, 5.7856, 8.4328 Å; angles 107.63, 90.00, 111.76 degrees
Element x y z (fractional)
Tb: 0.6762 0.3525 0.6531
Tb: 0.0000 0.0000 0.0000
Tb: 0.3238 0.6475 0.3469
Zn: 0.7468 0.4936 0.0750
Zn: 0.2532 0.5064 0.9250
Zn: 0.9815 0.9630 0.6402
Zn: 0.0185 0.0370 0.3598
Ge: 0.6107 0.2215 0.2750
Ge: 0.3893 0.7785 0.7250